Entry 1:
This record from the Alexandria database describes a geometry-optimized Pm2SmHoS4 structure. The functional is PBE.

Values from the calculation:
energy	-0.2362	hartree per atom

Cell and atoms, written as POSCAR:
```
Pm2SmHoS4
1.0
3.9488 0.0000 0.0000
0.0000 6.9209 0.1430
0.0000 -2.3949 6.5299
Pm Sm Ho S
2 1 1 4
Cartesian
1.9744 -1.1974 3.2649 Pm
0.0000 2.2630 3.3365 Pm
1.9744 3.4604 0.0715 Sm
0.0000 0.0000 0.0000 Ho
1.9744 1.0931 1.5965 S
1.9744 3.4329 5.0764 S
0.0000 -0.1053 4.9758 S
0.0000 4.6314 1.6971 S
```

Entry 2:
This record from the Alexandria database describes a geometry-optimized NbPIrN2 structure. The functional is PBE.

Values from the calculation:
energy	-0.2543	hartree per atom

Cell and atoms, written as POSCAR:
```
NbPIrN2
1.0
3.5484 0.0000 0.0000
0.0000 5.3886 0.0000
0.0000 0.0000 3.5484
P Nb Ir N
1 1 1 2
Cartesian
0.0000 0.0000 0.0000 P
0.0000 2.6943 0.0000 Nb
1.7742 2.6943 1.7742 Ir
0.0000 0.0000 1.7742 N
1.7742 0.0000 0.0000 N
```

Entry 3:
This record from the Alexandria database describes a geometry-optimized Sm2Ho3Er3 structure. The functional is PBE.

Values from the calculation:
energy	-0.1607	hartree per atom

Cell and atoms, written as POSCAR:
```
Sm2Ho3Er3
1.0
6.3738 0.2378 -0.2452
0.2450 6.3736 -0.2452
-0.2381 -0.2378 6.3741
Sm Ho Er
2 3 3
Cartesian
1.4391 1.4375 4.6950 Sm
4.9416 4.9360 1.1886 Sm
1.6795 4.9374 -0.2452 Ho
0.0016 1.4362 1.4345 Ho
4.6996 0.0000 4.6943 Ho
1.7608 4.6180 2.9418 Er
3.1888 1.7556 1.5122 Er
4.6216 3.1868 4.3714 Er
```

Entry 4:
This record from the Alexandria database describes a geometry-optimized Sm5ErAu6 structure. The functional is PBE.

Values from the calculation:
energy	-0.1762	hartree per atom

Cell and atoms, written as POSCAR:
```
Sm5ErAu6
1.0
-1.7981 -2.6870 4.0522
3.1749 -6.0009 -2.5728
7.1627 -2.6380 4.7485
Au Sm Er
6 5 1
Cartesian
2.7068 -6.6763 3.4010 Au
1.0727 -3.5885 4.7286 Au
1.5241 -5.9245 0.0631 Au
7.0154 -5.4014 6.1649 Au
7.4668 -7.7373 1.4993 Au
5.8327 -4.6495 2.8269 Au
4.0833 -4.5572 5.4254 Sm
2.8335 -3.7777 2.0675 Sm
1.5874 -3.0005 -1.2864 Sm
5.7060 -7.5482 4.1604 Sm
4.4562 -6.7686 0.8025 Sm
0.0000 0.0000 0.0000 Er
```

Entry 5:
This record from the Alexandria database describes a geometry-optimized Rb2VSe5 structure. The functional is PBE.

Values from the calculation:
energy	-0.1592	hartree per atom

Cell and atoms, written as POSCAR:
```
Rb2VSe5
1.0
8.4328 1.1946 -0.4934
0.7848 5.1587 0.6259
-4.9160 -2.4888 6.5440
Rb V Se
2 1 5
Cartesian
0.4516 2.0184 4.5444 Rb
4.3291 1.5812 2.1753 Rb
4.1514 3.8913 6.0180 V
7.5986 2.4706 0.8355 Se
-2.9332 -1.2405 5.5734 Se
7.5045 4.9557 0.7630 Se
-2.4794 1.0457 6.4435 Se
3.0223 4.2933 4.0816 Se
```

Entry 6:
This record from the Alexandria database describes a geometry-optimized Ba3MgN structure. The functional is PBE.

Values from the calculation:
energy	-0.1213	hartree per atom

Cell and atoms, written as POSCAR:
```
Ba3MgN
1.0
-2.5535 -0.9202 5.0293
5.1009 -0.0757 2.5760
-0.3482 5.6399 0.8552
Mg Ba N
1 3 1
Cartesian
1.0996 2.3220 4.2302 Mg
2.5505 -0.0378 1.2880 Ba
-0.1741 2.8199 0.4276 Ba
-1.2767 -0.4601 2.5146 Ba
0.0000 0.0000 0.0000 N
```

Entry 7:
This record from the Alexandria database describes a geometry-optimized Dy2HoIn9 structure. The functional is PBE.

Values from the calculation:
energy	-0.1327	hartree per atom

Cell and atoms, written as POSCAR:
```
Dy2HoIn9
1.0
4.6352 0.0000 0.0000
0.0000 4.6352 0.0000
0.0000 0.0000 13.9014
Dy Ho In
2 1 9
Cartesian
0.0000 0.0000 4.6329 Dy
0.0000 0.0000 9.2685 Dy
0.0000 0.0000 0.0000 Ho
2.3176 2.3176 0.0000 In
2.3176 2.3176 4.6329 In
2.3176 2.3176 9.2686 In
2.3176 0.0000 2.3123 In
2.3176 0.0000 6.9507 In
2.3176 0.0000 11.5892 In
0.0000 2.3176 2.3123 In
0.0000 2.3176 6.9507 In
0.0000 2.3176 11.5892 In
```

Entry 8:
This record from the Alexandria database describes a geometry-optimized SrCuPdCl2 structure. The functional is PBE.

Values from the calculation:
energy	-0.1121	hartree per atom

Cell and atoms, written as POSCAR:
```
SrCuPdCl2
1.0
-2.8878 -0.0947 4.6083
3.4169 -4.7297 2.0440
3.4940 3.5016 2.2616
Sr Cu Pd Cl
1 1 1 2
Cartesian
0.0000 0.0000 0.0000 Sr
1.7085 -2.3648 1.0220 Cu
2.0116 -0.6614 4.4569 Pd
1.7470 1.7508 1.1308 Cl
-1.4439 -0.0474 2.3041 Cl
```

Entry 9:
This record from the Alexandria database describes a geometry-optimized KSn3Pb structure. The functional is PBE.

Values from the calculation:
energy	-0.1261	hartree per atom

Cell and atoms, written as POSCAR:
```
KSn3Pb
1.0
-6.6176 -1.9185 1.6174
2.3588 -3.1157 5.9521
-0.8587 5.7879 3.3697
K Sn Pb
2 6 2
Cartesian
-2.7250 1.7972 5.7025 K
-4.4535 -3.5764 7.7312 K
-1.6550 -0.2980 2.8117 Sn
-1.7600 1.6574 9.5744 Sn
-5.8854 -0.5517 5.5559 Sn
-5.8410 2.2293 4.1739 Sn
-6.3163 2.3413 7.2405 Sn
-1.3320 -1.2380 7.8894 Sn
0.3905 1.3956 7.1810 Pb
-2.9575 -1.8401 5.1251 Pb
```

Entry 10:
This record from the Alexandria database describes a geometry-optimized MnAlAg2 structure. The functional is PBE.

Values from the calculation:
energy	-0.1679	hartree per atom

Cell and atoms, written as POSCAR:
```
MnAlAg2
1.0
-3.4723 0.7853 -3.1255
-3.0491 -3.4807 1.0151
1.8919 3.1202 3.0212
Mn Al Ag
1 1 2
Cartesian
-2.4206 1.2789 -0.5797 Mn
-3.2607 -1.3477 -1.0552 Al
0.0000 0.0000 0.0000 Ag
-2.2089 -0.8541 1.4906 Ag
```

Entry 11:
This record from the Alexandria database describes a geometry-optimized MnCoTc2 structure. The functional is PBE.

Values from the calculation:
energy	-0.3348	hartree per atom

Cell and atoms, written as POSCAR:
```
MnCoTc2
1.0
4.5377 0.0086 -0.0191
3.7607 2.5392 -0.0191
0.7727 0.2372 4.5192
Co Mn Tc
1 1 2
Cartesian
6.8033 2.0887 3.3607 Co
2.2678 0.6962 1.1202 Mn
0.8097 0.2486 4.5017 Tc
4.4985 1.3811 2.2579 Tc
```

Entry 12:
This record from the Alexandria database describes a geometry-optimized SmPuHgAu structure. The functional is PBE.

Values from the calculation:
energy	-0.2241	hartree per atom

Cell and atoms, written as POSCAR:
```
SmPuHgAu
1.0
-3.3461 -0.4890 1.4679
-1.1536 -1.5421 -3.1434
2.1148 -6.7947 2.5573
Sm Pu Hg Au
1 1 1 1
Cartesian
-1.0000 -5.0312 0.6736 Sm
-1.9975 -1.8261 -0.5327 Pu
1.8043 -5.7972 2.1819 Hg
0.7708 -2.4765 0.9321 Au
```

Entry 13:
This record from the Alexandria database describes a geometry-optimized LiTbMg2 structure. The functional is PBE.

Values from the calculation:
energy	-0.0882	hartree per atom

Cell and atoms, written as POSCAR:
```
LiTbMg2
1.0
-0.4819 -3.0625 1.0786
0.7185 -0.7779 3.1070
-9.9486 1.3458 4.3715
Mg Tb Li
2 1 1
Cartesian
-7.4651 -1.8236 6.4715 Mg
-2.2469 -0.6711 2.0855 Mg
-4.8560 -1.2473 4.2785 Tb
0.0000 0.0000 0.0000 Li
```

Entry 14:
This record from the Alexandria database describes a geometry-optimized Co2H2Rh structure. The functional is PBE.

Values from the calculation:
energy	-0.1977	hartree per atom

Cell and atoms, written as POSCAR:
```
Co2H2Rh
1.0
-2.9178 4.7562 -0.6882
-4.6103 -2.9976 -1.1698
-0.6743 -0.0213 2.7120
Co Rh H
4 2 4
Cartesian
-3.7079 -1.2605 0.5081 Co
-6.1668 0.4674 -0.0897 Co
-4.4945 2.9978 0.3459 Co
-2.0356 1.2699 0.9437 Co
0.0000 0.0000 0.0000 Rh
-3.7641 0.8793 -0.9290 Rh
-4.3429 -1.0228 -1.0878 H
-5.6111 1.4793 -1.3835 H
-3.1852 2.7814 -0.7701 H
-1.9170 0.2793 -0.4744 H
```

Entry 15:
This record from the Alexandria database describes a geometry-optimized Ca2HfSn2 structure. The functional is PBE.

Values from the calculation:
energy	-0.1490	hartree per atom

Cell and atoms, written as POSCAR:
```
Ca2HfSn2
1.0
4.0765 0.0000 0.0000
0.0000 4.0765 0.0000
2.0383 2.0383 9.6245
Ca Hf Sn
2 1 2
Cartesian
2.0383 2.0383 2.0474 Ca
4.0765 4.0765 7.5771 Ca
0.0000 0.0000 0.0000 Hf
4.0765 2.0383 4.8123 Sn
2.0383 4.0765 4.8123 Sn
```

Entry 16:
This record from the Alexandria database describes a geometry-optimized CrCuHg2 structure. The functional is PBE.

Values from the calculation:
energy	-0.1115	hartree per atom

Cell and atoms, written as POSCAR:
```
CrCuHg2
1.0
4.1478 0.0000 0.0000
0.0000 4.1478 0.0000
2.0739 2.0739 9.6293
Cr Hg Cu
2 4 2
Cartesian
2.0739 2.0739 0.0000 Cr
2.0739 4.1478 4.8146 Cr
3.1415 1.0370 2.4073 Hg
1.0063 3.1109 2.4073 Hg
3.1109 3.0802 7.2219 Hg
5.1848 5.2154 7.2219 Hg
0.0000 0.0000 0.0000 Cu
4.1478 2.0739 4.8146 Cu
```

Entry 17:
This record from the Alexandria database describes a geometry-optimized LiSiC3 structure. The functional is PBE.

Values from the calculation:
energy	-0.1518	hartree per atom

Cell and atoms, written as POSCAR:
```
LiSiC3
1.0
3.6470 0.0000 0.0000
0.0000 3.6470 0.0000
0.0000 0.0000 3.6470
Si C Li
1 3 1
Cartesian
1.8235 1.8235 1.8235 Si
0.0000 1.8235 0.0000 C
0.0000 0.0000 1.8235 C
1.8235 0.0000 0.0000 C
0.0000 0.0000 0.0000 Li
```

Entry 18:
This record from the Alexandria database describes a geometry-optimized Ho5Al2Bi structure. The functional is PBE.

Values from the calculation:
energy	-0.1735	hartree per atom

Cell and atoms, written as POSCAR:
```
Ho5Al2Bi
1.0
8.2534 0.0000 0.0000
0.0000 8.2534 0.0000
-4.1267 -4.1267 6.3792
Ho Al Bi
10 4 2
Cartesian
1.2749 2.8518 4.5379 Ho
5.4016 6.9785 1.8413 Ho
0.0000 0.0000 0.0000 Ho
4.1267 4.1267 0.0000 Ho
-1.2749 -2.8518 4.5379 Ho
2.8518 -1.2749 4.5379 Ho
-2.8518 1.2749 4.5379 Ho
1.2749 5.4016 1.8413 Ho
6.9785 2.8518 1.8413 Ho
2.8518 1.2749 1.8413 Ho
1.1800 2.9467 0.0000 Al
5.3067 1.1800 0.0000 Al
2.9467 7.0734 0.0000 Al
7.0734 5.3067 0.0000 Al
4.1267 4.1267 3.1896 Bi
0.0000 0.0000 3.1896 Bi
```

Entry 19:
This record from the Alexandria database describes a geometry-optimized NaTc2HPt structure. The functional is PBE.

Values from the calculation:
energy	-0.2147	hartree per atom

Cell and atoms, written as POSCAR:
```
NaTc2HPt
1.0
3.8082 0.0000 0.0000
0.0000 4.4938 0.0000
0.0000 0.0000 3.8082
Na Tc Pt H
1 2 1 1
Cartesian
1.9041 2.2469 1.9041 Na
0.0000 0.0000 1.9041 Tc
1.9041 0.0000 0.0000 Tc
0.0000 2.2469 0.0000 Pt
0.0000 0.0000 0.0000 H
```

Entry 20:
This record from the Alexandria database describes a geometry-optimized Sr2CdP2 structure. The functional is PBE.

Values from the calculation:
energy	-0.1304	hartree per atom

Cell and atoms, written as POSCAR:
```
Sr2CdP2
1.0
5.7170 0.0000 0.0000
0.0000 5.7170 0.0000
2.8585 2.8585 4.6371
Sr P Cd
2 2 1
Cartesian
5.7170 2.8585 2.3186 Sr
2.8585 5.7170 2.3186 Sr
2.8585 2.8585 1.1500 P
5.7170 5.7170 3.4871 P
0.0000 0.0000 0.0000 Cd
```

no.,magnetization (μB per formula unit)
1,0.0
2,0.6
3,0.0
4,0.0
5,0.7
6,0.0
7,0.0
8,0.4
9,0.0
10,3.7
11,1.8
12,5.8
13,0.0
14,3.6
15,0.0
16,4.2
17,0.0
18,0.0
19,0.0
20,0.0